(1)
An optimized crystal structure of MgAs2Pd2. Source: the Alexandria database, functional PBE.

Cell lengths 7.3081, 7.3081, 3.3106 Å; angles 90.00, 90.00, 90.00 degrees
Positions (direct):
As 0.6654 0.8346 0.5000
As 0.8346 0.3346 0.5000
As 0.3346 0.1654 0.5000
As 0.1654 0.6654 0.5000
Mg 0.5000 0.5000 0.0000
Mg 0.0000 0.0000 0.0000
Pd 0.3634 0.8634 0.0000
Pd 0.1366 0.3634 0.0000
Pd 0.8634 0.6366 0.0000
Pd 0.6366 0.1366 0.0000

## Properties
* total moment: 0.0 μB/cell
* uncorrected energy: -4.56 eV per atom
* formation energy: -300 meV per atom

(2)
An optimized crystal structure of MgAsPd2. Source: the Alexandria database, functional PBE.

Cell lengths 3.3202, 5.7802, 7.2623 Å; angles 90.00, 90.00, 106.69 degrees
Positions (direct):
Pd 0.3697 0.7393 0.9503
Pd 0.3697 0.7393 0.5497
Pd 0.6303 0.2607 0.0497
Pd 0.6303 0.2607 0.4503
As 0.7515 0.5029 0.7500
As 0.2485 0.4971 0.2500
Mg 0.9726 0.9451 0.2500
Mg 0.0274 0.0549 0.7500

## Properties
* total moment: 0.0 μB/cell
* uncorrected energy: -4.70 eV per atom
* formation energy: -543 meV per atom

(3)
An optimized crystal structure of Mg5As2Pd12. Source: the Alexandria database, functional PBE.

Cell lengths 7.4080, 7.3998, 6.5901 Å; angles 96.18, 90.00, 120.04 degrees
Positions (direct):
Mg 0.3244 0.6489 0.0630
Mg 0.6756 0.3511 0.9370
Mg 0.7548 0.5095 0.4432
Mg 0.0000 0.0000 0.5000
Mg 0.2452 0.4905 0.5568
Pd 0.6165 0.6423 0.7820
Pd 0.5926 0.7865 0.4091
Pd 0.1260 0.2519 0.8585
Pd 0.9742 0.3577 0.2180
Pd 0.0258 0.6423 0.7820
Pd 0.8061 0.2135 0.5909
Pd 0.4074 0.2135 0.5909
Pd 0.8740 0.7481 0.1415
Pd 0.5395 0.0790 0.2249
Pd 0.1939 0.7865 0.4091
Pd 0.3835 0.3577 0.2180
Pd 0.4605 0.9210 0.7751
As 0.7782 0.0000 0.0000
As 0.2218 0.0000 0.0000

## Properties
* total moment: 0.0 μB/cell
* uncorrected energy: -4.70 eV per atom
* formation energy: -509 meV per atom

(4)
An optimized crystal structure of MgAs2Pd7. Source: the Alexandria database, functional PBE.

Cell lengths 4.3846, 7.0439, 7.0439 Å; angles 116.58, 90.00, 90.00 degrees
Positions (direct):
Mg 0.0000 0.0000 0.0000
Pd 0.5000 0.0674 0.3054
Pd 0.0000 0.7778 0.2222
Pd 0.5000 0.5000 0.5000
Pd 0.0000 0.2222 0.7778
Pd 0.5000 0.3054 0.0674
Pd 0.5000 0.6946 0.9326
Pd 0.5000 0.9326 0.6946
As 0.5000 0.3027 0.6973
As 0.5000 0.6973 0.3027

## Properties
* distance to the lowest polymorph of the same formula: 267 meV/atom
* total moment: 0.0 μB/cell
* uncorrected energy: -4.92 eV per atom
* formation energy: -196 meV per atom